(1)
Material: Hf2MoPt
Method: DFT, GGA-PBE
State: optimized geometry

Structure (extended XYZ):
```
4
Lattice="0.0000 3.2891 3.2891 3.2891 0.0000 3.2891 3.2891 3.2891 0.0000" Properties=species:S:1:pos:R:3 pbc="T T T"
Hf 0.0000 0.0000 0.0000
Hf 1.6445 1.6445 1.6445
Mo 4.9336 4.9336 4.9336
Pt 3.2891 3.2891 3.2891
```

- density (g/cm³) = 15.12
- space-group type = F-43m, No. 216
- VASP energy (eV per atom) = -9.39

(2)
Material: MgAlAg2
Method: DFT, GGA-PBE
State: optimized geometry

Structure (extended XYZ):
```
4
Lattice="-2.2874 2.2874 3.2421 2.2874 -2.2874 3.2421 2.2874 2.2874 -3.2421" Properties=species:S:1:pos:R:3 pbc="T T T"
Mg 0.0000 0.0000 0.0000
Al 0.0000 0.0000 3.2421
Ag 2.2874 0.0000 1.6210
Ag 0.0000 2.2874 1.6210
```

- density (g/cm³) = 6.53
- offset from the most stable computed form (eV/f.u.) = 0.01
- space-group type = I4/mmm, No. 139

(3)
Material: CoPbAu2
Method: DFT, GGA-PBE
State: optimized geometry

Structure (extended XYZ):
```
4
Lattice="0.0000 3.3411 3.3411 3.3411 0.0000 3.3411 3.3411 3.3411 0.0000" Properties=species:S:1:pos:R:3 pbc="T T T"
Co 0.0000 0.0000 0.0000
Pb 5.0117 5.0117 5.0117
Au 1.6706 1.6706 1.6706
Au 3.3411 3.3411 3.3411
```

- density (g/cm³) = 14.69
- space-group type = F-43m, No. 216
- VASP energy (eV per atom) = -3.96

(4)
Material: Er2Co3Si5
Method: DFT, GGA-PBE
State: optimized geometry

Structure (extended XYZ):
```
20
Lattice="-4.7383 5.5998 2.7457 4.7383 -5.5998 2.7457 4.7383 5.5998 -2.7457" Properties=species:S:1:pos:R:3 pbc="T T T"
Er 2.2100 1.5098 0.0000
Er 2.2100 -1.5098 2.7457
Er 2.5283 7.1095 0.0000
Er 2.5283 4.0900 2.7457
Co 3.7173 -4.0481 2.7457
Co 4.7383 0.0000 1.3728
Co 3.7173 4.0481 0.0000
Co 1.0210 1.5517 2.7457
Co 0.0000 5.5998 1.3728
Co 1.0210 9.6479 0.0000
Si 4.7383 -2.5205 1.3728
Si 6.2556 1.1192 0.0000
Si 0.0000 0.0000 1.3728
Si 1.5173 4.4805 0.0000
Si 4.7383 2.5205 1.3728
Si 0.0000 3.0793 1.3728
Si 3.2210 1.1192 2.7457
Si 0.0000 0.0000 4.1185
Si -1.5173 4.4805 2.7457
Si 0.0000 8.1202 1.3728
```

- density (g/cm³) = 7.43
- space-group type = Ibam, No. 72
- VASP energy (eV per atom) = -6.53

(5)
Material: TaAlB4
Method: DFT, GGA-PBE
State: optimized geometry

Structure (extended XYZ):
```
6
Lattice="3.0015 0.0000 0.0000 -1.5008 2.5994 0.0000 0.0000 0.0000 6.8437" Properties=species:S:1:pos:R:3 pbc="T T T"
Ta 0.0000 0.0000 0.0000
Al 0.0000 0.0000 3.4219
B 0.0000 1.7329 1.7791
B 0.0000 1.7329 5.0647
B 1.5008 0.8665 1.7791
B 1.5008 0.8665 5.0647
```

- density (g/cm³) = 7.81
- space-group type = P6/mmm, No. 191
- VASP energy (eV per atom) = -7.41

(6)
Material: TlTe2Ir
Method: DFT, GGA-PBE
State: optimized geometry

Structure (extended XYZ):
```
4
Lattice="0.0000 3.6055 3.6055 3.6055 0.0000 3.6055 3.6055 3.6055 0.0000" Properties=species:S:1:pos:R:3 pbc="T T T"
Tl 0.0000 0.0000 0.0000
Te 3.6055 3.6055 3.6055
Te 5.4082 5.4082 5.4082
Ir 1.8027 1.8027 1.8027
```

- density (g/cm³) = 11.55
- space-group type = F-43m, No. 216
- VASP energy (eV per atom) = -3.65

The lowest density belongs to which entry?
MgAlAg2